The following is a GGA-PBE calculation of crystalline Nd2PuP3 at its relaxed geometry, from Alexandria via LeMat-Bulk.

Geometry as CIF:
```
data_Nd2PuP3
_chemical_formula_sum 'Nd4 Pu2 P6'
_cell_length_a 4.115
_cell_length_b 4.115
_cell_length_c 17.424
_cell_angle_alpha 90.00
_cell_angle_beta 90.00
_cell_angle_gamma 90.00
_symmetry_space_group_name_H-M 'I 4/m m m'
_symmetry_Int_Tables_number 139
_symmetry_space_group_name_Hall '-I 4 2'
loop_
_atom_site_label
_atom_site_type_symbol
_atom_site_fract_x
_atom_site_fract_y
_atom_site_fract_z
Nd1 Nd 0.000 0.000 0.167
Pu1 Pu 0.000 0.000 0.500
P1 P 0.000 0.000 0.000
P2 P 0.000 0.000 0.337
```

Computed properties:
Calculated volume, Å³ per cell: 295
Offset from the most stable computed form, meV per atom: 8.9
ΔH_f (0 K), eV per formula unit: -8.31
Fermi-level density of states, states/eV/f.u.: 11.7